Entry from Alexandria: PmTiGa2Pt2 after structural relaxation (GGA-PBE).

a = 4.369 Å, b = 4.369 Å, c = 6.839 Å
α = 90.00°, β = 90.00°, γ = 120.00°
Fractional coordinates of all 6 atoms:
Ga 0.333 0.667 0.302
Ga 0.667 0.333 0.698
Ti 0.000 0.000 0.500
Pt 0.667 0.333 0.299
Pt 0.333 0.667 0.701
Pm 0.000 0.000 0.000

Calculated values
Energy relative to the elements = -0.935 eV/atom
Volume = 18.85 Å³/atom
Total moment = 0.000 μB/cell

Entry from Alexandria: Pm2TiGa4Pt3 after structural relaxation (GGA-PBE).

a = 4.164 Å, b = 4.164 Å, c = 11.211 Å
α = 90.00°, β = 90.00°, γ = 90.00°
Fractional coordinates of all 10 atoms:
Ga 0.500 0.000 0.643
Ga 0.500 0.500 0.000
Ga 0.000 0.500 0.357
Ga 0.000 0.000 0.000
Pt 0.500 0.000 0.867
Pt 0.000 0.000 0.500
Pt 0.000 0.500 0.133
Pm 0.500 0.000 0.249
Pm 0.000 0.500 0.751
Ti 0.500 0.500 0.500

Calculated values
Energy relative to the elements = -0.869 eV/atom
Volume = 19.43 Å³/atom
Total moment = 0.000 μB/cell